[1]
A plane-wave DFT calculation with PBE-GGA was carried out for an optimized crystal structure of YHo3Th4S8.

Cell lengths 7.788, 8.087, 7.789 Å; angles 118.79, 120.00, 90.00 degrees
Fractional positions:
Y (0.000, 0.500, 0.000)
Ho (0.500, 0.500, 0.000)
Ho (0.500, 0.500, 0.500)
Ho (0.000, 0.500, 0.500)
Th (0.500, 0.000, 0.000)
Th (0.500, 0.000, 0.500)
Th (0.000, 0.000, 0.000)
Th (0.000, 0.000, 0.500)
S (0.245, 0.733, 0.988)
S (0.245, 0.733, 0.490)
S (0.256, 0.268, 0.512)
S (0.743, 0.733, 0.988)
S (0.257, 0.267, 0.012)
S (0.744, 0.732, 0.488)
S (0.755, 0.267, 0.510)
S (0.755, 0.267, 0.012)

Computed properties:
The total energy is -7.091 eV per atom. The value obtained for the density is 8316 kg/m3.

---

[2]
A plane-wave DFT calculation with PBE-GGA was carried out for an optimized crystal structure of HoTiS3.

Cell lengths 3.650, 7.885, 12.948 Å; angles 90.00, 90.00, 90.00 degrees
Last column: magnetic moment on the atom in μB.
Fractional positions:
Ho (0.250, 0.923, 0.327)  0.02
Ho (0.750, 0.077, 0.673)  0.02
Ho (0.750, 0.577, 0.827)  0.02
Ho (0.250, 0.423, 0.173)  0.02
Ti (0.250, 0.651, 0.544)  0.59
Ti (0.750, 0.349, 0.456)  0.59
Ti (0.750, 0.849, 0.044)  0.59
Ti (0.250, 0.151, 0.956)  0.59
S (0.750, 0.196, 0.288)  0.00
S (0.250, 0.655, 0.984)  -0.01
S (0.250, 0.018, 0.119)  -0.02
S (0.250, 0.518, 0.381)  -0.02
S (0.250, 0.155, 0.516)  -0.01
S (0.750, 0.482, 0.619)  -0.02
S (0.250, 0.304, 0.788)  0.00
S (0.750, 0.982, 0.881)  -0.02
S (0.750, 0.345, 0.016)  -0.01
S (0.750, 0.696, 0.212)  0.00
S (0.750, 0.845, 0.484)  -0.01
S (0.250, 0.804, 0.712)  0.00

Computed properties:
The total energy is -6.629 eV per atom. The value obtained for the density is 5508 kg/m3.

---

[3]
A plane-wave DFT calculation with PBE-GGA was carried out for an optimized crystal structure of HoTiS.

Cell lengths 4.489, 3.487, 8.156 Å; angles 102.34, 105.98, 90.00 degrees
Last column: magnetic moment on the atom in μB.
Fractional positions:
Ho (0.668, 0.168, 0.336)  0.00
Ho (0.332, 0.832, 0.664)  0.00
Ti (0.746, 0.500, 0.000)  0.21
Ti (0.254, 0.500, 0.000)  0.21
S (0.155, 0.655, 0.309)  0.00
S (0.845, 0.345, 0.691)  0.00

Computed properties:
The total energy is -6.398 eV per atom. The value obtained for the density is 6796 kg/m3.

---

[4]
A plane-wave DFT calculation with PBE-GGA was carried out for an optimized crystal structure of HoTi4S8.

Cell lengths 6.890, 6.890, 7.540 Å; angles 62.81, 62.81, 60.00 degrees
Fractional positions:
Ho (0.500, 0.500, 0.500)
Ti (0.000, 0.500, 0.000)
Ti (0.500, 0.500, 0.000)
Ti (0.500, 0.000, 0.000)
Ti (0.000, 0.000, 0.000)
S (0.749, 0.239, 0.772)
S (0.761, 0.251, 0.228)
S (0.251, 0.761, 0.228)
S (0.761, 0.761, 0.228)
S (0.739, 0.739, 0.782)
S (0.261, 0.261, 0.218)
S (0.239, 0.239, 0.772)
S (0.239, 0.749, 0.772)

Computed properties:
The total energy is -6.834 eV per atom. The value obtained for the density is 3865 kg/m3.

---

[5]
A plane-wave DFT calculation with PBE-GGA was carried out for an optimized crystal structure of Ho2TiS4.

Cell lengths 3.802, 6.867, 7.098 Å; angles 120.10, 105.53, 90.00 degrees
Last column: magnetic moment on the atom in μB.
Fractional positions:
Ho (0.727, 0.736, 0.454)  0.01
Ho (0.273, 0.264, 0.546)  0.01
Ti (0.000, 0.000, 0.000)  0.28
S (0.888, 0.191, 0.776)  0.00
S (0.112, 0.809, 0.224)  0.00
S (0.627, 0.265, 0.253)  -0.01
S (0.373, 0.735, 0.747)  -0.01

Computed properties:
The total energy is -6.552 eV per atom. The value obtained for the density is 5511 kg/m3.

---

[6]
A plane-wave DFT calculation with PBE-GGA was carried out for an optimized crystal structure of HoTi6S8.

Cell lengths 6.546, 6.546, 6.546 Å; angles 89.27, 89.27, 89.27 degrees
Last column: magnetic moment on the atom in μB.
Fractional positions:
Ho (0.000, 0.000, 0.000)  0.10
Ti (0.583, 0.435, 0.805)  0.44
Ti (0.435, 0.805, 0.583)  0.44
Ti (0.805, 0.583, 0.435)  0.44
Ti (0.417, 0.565, 0.195)  0.44
Ti (0.565, 0.195, 0.417)  0.44
Ti (0.195, 0.417, 0.565)  0.44
S (0.758, 0.758, 0.758)  0.00
S (0.242, 0.242, 0.242)  0.00
S (0.625, 0.868, 0.256)  -0.02
S (0.868, 0.256, 0.625)  -0.02
S (0.256, 0.625, 0.868)  -0.02
S (0.375, 0.132, 0.744)  -0.02
S (0.132, 0.744, 0.375)  -0.02
S (0.744, 0.375, 0.132)  -0.02

Computed properties:
The total energy is -6.992 eV per atom. The value obtained for the density is 4196 kg/m3.

---

[7]
A plane-wave DFT calculation with PBE-GGA was carried out for an optimized crystal structure of Ho2TiTl2S6.

Cell lengths 6.631, 6.631, 7.869 Å; angles 98.43, 98.43, 119.65 degrees
Fractional positions:
Ho (0.333, 0.667, 0.500)
Ho (0.667, 0.333, 0.500)
Ti (0.000, 0.000, 0.500)
Tl (0.829, 0.171, 0.000)
Tl (0.171, 0.829, 0.000)
S (0.762, 0.762, 0.691)
S (0.067, 0.373, 0.690)
S (0.238, 0.238, 0.309)
S (0.373, 0.067, 0.690)
S (0.933, 0.627, 0.310)
S (0.627, 0.933, 0.310)

Computed properties:
The total energy is -5.638 eV per atom. The value obtained for the density is 5651 kg/m3.

---

[8]
A plane-wave DFT calculation with PBE-GGA was carried out for an optimized crystal structure of Ho3TiTl3S8.

Cell lengths 7.775, 7.775, 8.816 Å; angles 116.19, 90.00, 120.00 degrees
Fractional positions:
Ho (0.500, 0.000, 0.500)
Ho (0.500, 0.500, 0.500)
Ho (0.000, 0.500, 0.500)
Ti (0.000, 0.000, 0.500)
Tl (0.000, 0.000, 0.000)
Tl (0.000, 0.500, 0.000)
Tl (0.500, 0.500, 0.000)
S (0.267, 0.534, 0.301)
S (0.733, 0.466, 0.699)
S (0.785, 0.569, 0.313)
S (0.215, 0.431, 0.687)
S (0.785, 0.028, 0.313)
S (0.215, 0.972, 0.687)
S (0.244, 0.028, 0.313)
S (0.756, 0.972, 0.687)

Computed properties:
The total energy is -5.543 eV per atom. The value obtained for the density is 5906 kg/m3.

---

[9]
A plane-wave DFT calculation with PBE-GGA was carried out for an optimized crystal structure of Ho6TlS4.

Cell lengths 3.914, 6.809, 19.990 Å; angles 90.00, 90.00, 106.70 degrees
Fractional positions:
Ho (0.500, 0.000, 0.000)
Ho (0.500, 0.000, 0.500)
Ho (0.039, 0.077, 0.342)
Ho (0.961, 0.923, 0.658)
Ho (0.961, 0.923, 0.842)
Ho (0.039, 0.077, 0.158)
Ho (0.772, 0.543, 0.417)
Ho (0.228, 0.457, 0.583)
Ho (0.228, 0.457, 0.917)
Ho (0.772, 0.543, 0.083)
Ho (0.348, 0.696, 0.250)
Ho (0.652, 0.304, 0.750)
Tl (0.664, 0.328, 0.250)
Tl (0.336, 0.672, 0.750)
S (0.863, 0.725, 0.539)
S (0.406, 0.811, 0.121)
S (0.137, 0.275, 0.461)
S (0.594, 0.189, 0.879)
S (0.863, 0.725, 0.961)
S (0.137, 0.275, 0.039)
S (0.594, 0.189, 0.621)
S (0.406, 0.811, 0.379)

Computed properties:
The total energy is -5.748 eV per atom. The value obtained for the density is 8606 kg/m3.

---

[10]
A plane-wave DFT calculation with PBE-GGA was carried out for an optimized crystal structure of Ho2TlS4.

Cell lengths 8.160, 8.160, 8.159 Å; angles 119.98, 119.97, 90.06 degrees
Fractional positions:
Ho (0.625, 0.375, 0.750)
Ho (0.625, 0.875, 0.250)
Ho (0.625, 0.375, 0.250)
Ho (0.125, 0.375, 0.750)
Tl (0.250, 0.750, 0.500)
Tl (0.000, 0.000, 0.000)
S (0.861, 0.139, 0.277)
S (0.389, 0.611, 0.223)
S (0.862, 0.585, 0.723)
S (0.861, 0.139, 0.723)
S (0.415, 0.138, 0.277)
S (0.388, 0.165, 0.777)
S (0.389, 0.611, 0.777)
S (0.835, 0.612, 0.223)

Computed properties:
The total energy is -5.527 eV per atom. The value obtained for the density is 5726 kg/m3.

---

[11]
A plane-wave DFT calculation with PBE-GGA was carried out for an optimized crystal structure of Ho4Tl3S8.

Cell lengths 7.991, 8.133, 8.133 Å; angles 89.77, 118.90, 118.90 degrees
Fractional positions:
Ho (0.500, 0.000, 0.000)
Ho (0.000, 0.500, 0.000)
Ho (0.000, 0.000, 0.000)
Ho (0.000, 0.000, 0.500)
Tl (0.500, 0.500, 0.000)
Tl (0.500, 0.000, 0.500)
Tl (0.500, 0.500, 0.500)
S (0.463, 0.215, 0.215)
S (0.000, 0.760, 0.240)
S (0.973, 0.228, 0.228)
S (0.500, 0.764, 0.236)
S (0.500, 0.236, 0.764)
S (0.027, 0.772, 0.772)
S (0.000, 0.240, 0.760)
S (0.537, 0.785, 0.785)

Computed properties:
The total energy is -5.248 eV per atom. The value obtained for the density is 6571 kg/m3.

---

[12]
A plane-wave DFT calculation with PBE-GGA was carried out for an optimized crystal structure of Ho2Tl2S.

Cell lengths 3.726, 3.723, 11.321 Å; angles 80.66, 80.53, 59.98 degrees
Fractional positions:
Ho (0.716, 0.214, 0.355)
Ho (0.284, 0.786, 0.645)
Tl (0.458, 0.952, 0.132)
Tl (0.542, 0.048, 0.868)
S (0.000, 0.500, 0.500)

Computed properties:
The total energy is -4.447 eV per atom. The value obtained for the density is 9583 kg/m3.

---

| no. | formation energy without anion corrections (eV/atom) |
| --- | --- |
| 1 | -1.9096 |
| 2 | -1.6580 |
| 3 | -0.8645 |
| 4 | -1.5125 |
| 5 | -1.7572 |
| 6 | -1.3272 |
| 7 | -1.4067 |
| 8 | -1.4268 |
| 9 | -1.5349 |
| 10 | -1.5229 |
| 11 | -1.3532 |
| 12 | -0.8443 |